# CaSb3F12

A relaxed structure of CaSb3F12 (PBE, the Alexandria database).

Cell lengths 9.7462, 9.7462, 22.2702 Å; angles 90.00, 90.00, 120.00 degrees
Space group R3c (No. 161, hexagonal axes)
Symmetry-distinct sites (fractional):
Ca  0.0000  0.0000  0.0000 (multiplicity 6)
Sb  0.0123  0.2511  0.2623 (multiplicity 18)
F  0.0208  0.2003  0.9406 (multiplicity 18)
F  0.0802  0.3407  0.3421 (multiplicity 18)
F  0.1613  0.4773  0.2302 (multiplicity 18)
F  0.1708  0.4818  0.4601 (multiplicity 18)

Results
- formation energy from raw total energies (eV/atom) = -2.551
- crystal system = trigonal
- Fermi-level density of states (states/eV/cell) = 43.07

# PmTl

A relaxed structure of PmTl (PBE, the Alexandria database).

Cell lengths 6.420, 6.420, 6.420 Å; angles 90.00, 90.00, 90.00 degrees
Space group Fm-3m (No. 225)
Symmetry-distinct sites (fractional):
Pm  0.000  0.000  0.000 (multiplicity 4)
Tl  0.000  0.000  0.500 (multiplicity 4)

Results
- E_form (kJ/mol of atoms) = -11
- crystal system = cubic
- Fermi-level density of states (states/eV/cell) = 16.09

# LaReP2

A relaxed structure of LaReP2 (PBE, the Alexandria database).

Cell lengths 7.286, 3.484, 6.194 Å; angles 90.00, 106.08, 90.00 degrees
Space group C2/m (No. 12)
Symmetry-distinct sites (fractional):
La  0.000  0.000  0.000 (multiplicity 2)
Re  0.000  0.500  0.500 (multiplicity 2)
P  0.237  0.000  0.679 (multiplicity 4)

Results
- E_form (kJ/mol of atoms) = -69
- relative energy among the computed polymorphs (meV/atom) = 79
- crystal system = monoclinic
- Fermi-level density of states (states/eV/cell) = 3.22

# NaAc2Rh9

A relaxed structure of NaAc2Rh9 (PBE, the Alexandria database).

Cell lengths 5.4029, 5.4029, 26.7303 Å; angles 90.00, 90.00, 120.00 degrees
Space group R-3m (No. 166, hexagonal axes)
Symmetry-distinct sites (fractional):
Na  0.0000  0.0000  0.0000 (multiplicity 3)
Ac  0.0000  0.0000  0.1348 (multiplicity 6)
Rh  0.0000  0.0000  0.3321 (multiplicity 6)
Rh  0.0000  0.0000  0.5000 (multiplicity 3)
Rh  0.0036  0.5018  0.0791 (multiplicity 18)

Results
- E_form (kJ/mol of atoms) = -19
- crystal system = trigonal
- Fermi-level density of states (states/eV/cell) = 41.99

# Cs6RbS

A relaxed structure of Cs6RbS (PBE, the Alexandria database).

Cell lengths 17.963, 9.361, 18.166 Å; angles 90.00, 103.45, 90.00 degrees
Space group C2/c (No. 15)
Symmetry-distinct sites (fractional):
Cs  0.083  0.117  0.397 (multiplicity 8)
Cs  0.155  0.456  0.039 (multiplicity 8)
Cs  0.218  0.088  0.657 (multiplicity 8)
Rb  0.000  0.370  0.750 (multiplicity 4)
S  0.250  0.250  0.500 (multiplicity 4)

Results
- formation energy from raw total energies (eV/atom) = -0.371
- crystal system = monoclinic
- Fermi-level density of states (states/eV/cell) = 25.92

# Mg2BeB

A relaxed structure of Mg2BeB (PBE, the Alexandria database).

Cell lengths 8.727, 8.727, 3.593 Å; angles 90.00, 90.00, 90.00 degrees
Space group I-42d (No. 122)
Symmetry-distinct sites (fractional):
Mg  0.074  0.250  0.125 (multiplicity 8)
Be  0.000  0.000  0.500 (multiplicity 4)
B  0.000  0.000  0.000 (multiplicity 4)

Results
- E_form (kJ/mol of atoms) = 26
- relative energy among the computed polymorphs (meV/atom) = 167
- crystal system = tetragonal
- Fermi-level density of states (states/eV/cell) = 4.70

# Tm3Ni6P5

A relaxed structure of Tm3Ni6P5 (PBE, the Alexandria database).

Cell lengths 3.740, 11.486, 9.278 Å; angles 90.00, 90.00, 90.00 degrees
Space group Pmmn (No. 59, origin choice 2)
Symmetry-distinct sites (fractional):
Tm  0.250  0.090  0.248 (multiplicity 4)
Tm  0.250  0.750  0.254 (multiplicity 2)
Ni  0.250  0.063  0.608 (multiplicity 4)
Ni  0.250  0.250  0.485 (multiplicity 2)
Ni  0.250  0.250  0.987 (multiplicity 2)
Ni  0.250  0.579  0.007 (multiplicity 4)
P  0.250  0.081  0.852 (multiplicity 4)
P  0.250  0.624  0.519 (multiplicity 4)
P  0.250  0.750  0.875 (multiplicity 2)

Results
- E_form (kJ/mol of atoms) = -96
- crystal system = orthorhombic
- Fermi-level density of states (states/eV/cell) = 18.40

# B5C7

A relaxed structure of B5C7 (PBE, the Alexandria database).

Cell lengths 13.743, 2.572, 4.651 Å; angles 90.00, 106.84, 90.00 degrees
Space group Cm (No. 8)
Symmetry-distinct sites (fractional):
B  0.000  0.000  0.000 (multiplicity 2)
B  0.002  0.500  0.416 (multiplicity 2)
B  0.068  0.000  0.670 (multiplicity 2)
B  0.179  0.500  0.275 (multiplicity 2)
B  0.350  0.500  0.129 (multiplicity 2)
C  0.056  0.500  0.146 (multiplicity 2)
C  0.189  0.000  0.792 (multiplicity 2)
C  0.218  0.500  0.975 (multiplicity 2)
C  0.226  0.000  0.510 (multiplicity 2)
C  0.345  0.000  0.620 (multiplicity 2)
C  0.382  0.500  0.810 (multiplicity 2)
C  0.383  0.000  0.341 (multiplicity 2)

Results
- E_form (kJ/mol of atoms) = 34
- relative energy among the computed polymorphs (meV/atom) = 98
- crystal system = monoclinic
- Fermi-level density of states (states/eV/cell) = 3.82

# Y12Ho7Tm

A relaxed structure of Y12Ho7Tm (PBE, the Alexandria database).

Cell lengths 18.6028, 18.6028, 6.6822 Å; angles 90.00, 90.00, 120.00 degrees
Space group R-3 (No. 148, hexagonal axes)
Symmetry-distinct sites (fractional):
Y  0.9998  0.2094  0.2043 (multiplicity 18)
Y  0.0078  0.4697  0.2375 (multiplicity 18)
Ho  0.0000  0.0000  0.0000 (multiplicity 3)
Ho  0.0102  0.8547  0.2923 (multiplicity 18)
Tm  0.0000  0.0000  0.5000 (multiplicity 3)

Results
- E_form (kJ/mol of atoms) = 32
- relative energy among the computed polymorphs (meV/atom) = 45
- crystal system = trigonal
- Fermi-level density of states (states/eV/cell) = 88.97

# Sr2TlHg2Pd5

A relaxed structure of Sr2TlHg2Pd5 (PBE, the Alexandria database).

Cell lengths 10.428, 10.428, 3.990 Å; angles 90.00, 90.00, 90.00 degrees
Space group P4/mbm (No. 127)
Symmetry-distinct sites (fractional):
Sr  0.172  0.328  0.000 (multiplicity 4)
Tl  0.000  0.000  0.000 (multiplicity 2)
Hg  0.127  0.627  0.000 (multiplicity 4)
Pd  0.000  0.500  0.500 (multiplicity 2)
Pd  0.058  0.804  0.500 (multiplicity 8)

Results
- E_form (kJ/mol of atoms) = -39
- crystal system = tetragonal
- Fermi-level density of states (states/eV/cell) = 9.02

# TiAgHg2

A relaxed structure of TiAgHg2 (PBE, the Alexandria database).

Cell lengths 3.1252, 3.1252, 28.2407 Å; angles 90.00, 90.00, 120.00 degrees
Space group R-3m (No. 166, hexagonal axes)
Symmetry-distinct sites (fractional):
Ti  0.0000  0.0000  0.0000 (multiplicity 3)
Ag  0.0000  0.0000  0.5000 (multiplicity 3)
Hg  0.0000  0.0000  0.2518 (multiplicity 6)

Results
- E_form (kJ/mol of atoms) = 10
- crystal system = trigonal
- Fermi-level density of states (states/eV/cell) = 9.60

# V3CrGe

A relaxed structure of V3CrGe (PBE, the Alexandria database).

Cell lengths 11.637, 8.800, 5.609 Å; angles 90.00, 90.00, 90.00 degrees
Space group Cmce (No. 64)
Symmetry-distinct sites (fractional):
V  0.000  0.050  0.226 (multiplicity 8)
V  0.158  0.185  0.887 (multiplicity 16)
Cr  0.000  0.208  0.598 (multiplicity 8)
Ge  0.250  0.062  0.250 (multiplicity 8)

Results
- E_form (kJ/mol of atoms) = 21
- relative energy among the computed polymorphs (meV/atom) = 0
- crystal system = orthorhombic
- Fermi-level density of states (states/eV/cell) = 39.21

# Tb6Os2Ru

A relaxed structure of Tb6Os2Ru (PBE, the Alexandria database).

Cell lengths 6.661, 7.301, 11.376 Å; angles 90.00, 123.51, 90.00 degrees
Space group P2_1/c (No. 14)
Symmetry-distinct sites (fractional):
Tb  0.075  0.032  0.239 (multiplicity 4)
Tb  0.223  0.664  0.071 (multiplicity 4)
Tb  0.399  0.171  0.074 (multiplicity 4)
Os  0.317  0.142  0.782 (multiplicity 4)
Ru  0.500  0.000  0.500 (multiplicity 2)

Results
- E_form (kJ/mol of atoms) = -18
- relative energy among the computed polymorphs (meV/atom) = 56
- crystal system = monoclinic
- Fermi-level density of states (states/eV/cell) = 12.36

# Cd2NiBr

A relaxed structure of Cd2NiBr (PBE, the Alexandria database).

Cell lengths 5.824, 8.403, 3.359 Å; angles 90.00, 90.00, 90.00 degrees
Space group Cmmm (No. 65)
Symmetry-distinct sites (fractional):
Cd  0.250  0.250  0.000 (multiplicity 4)
Ni  0.000  0.000  0.500 (multiplicity 2)
Br  0.000  0.500  0.500 (multiplicity 2)

Results
- formation energy from raw total energies (eV/atom) = 0.222
- relative energy among the computed polymorphs (meV/atom) = 246
- crystal system = orthorhombic
- Fermi-level density of states (states/eV/cell) = 4.69

# Ca2TlFe

A relaxed structure of Ca2TlFe (PBE, the Alexandria database).

Cell lengths 5.109, 5.109, 4.015 Å; angles 90.00, 90.00, 90.00 degrees
Space group P4/mmm (No. 123)
Symmetry-distinct sites (fractional):
Ca  0.000  0.500  0.000 (multiplicity 2)
Tl  0.000  0.000  0.500 (multiplicity 1)
Fe  0.500  0.500  0.500 (multiplicity 1)

Results
- E_form (kJ/mol of atoms) = 18
- crystal system = tetragonal
- Fermi-level density of states (states/eV/cell) = 7.47

# TcIrOF2

A relaxed structure of TcIrOF2 (PBE, the Alexandria database).

Cell lengths 4.531, 4.531, 3.704 Å; angles 90.00, 90.00, 90.00 degrees
Space group P4/mmm (No. 123)
Symmetry-distinct sites (fractional):
Tc  0.000  0.000  0.000 (multiplicity 1)
Ir  0.500  0.500  0.500 (multiplicity 1)
O  0.500  0.500  0.000 (multiplicity 1)
F  0.000  0.500  0.500 (multiplicity 2)

Results
- formation energy from raw total energies (eV/atom) = 0.041
- relative energy among the computed polymorphs (meV/atom) = 47
- crystal system = tetragonal
- Fermi-level density of states (states/eV/cell) = 3.16

# PmY10Er4

A relaxed structure of PmY10Er4 (PBE, the Alexandria database).

Cell lengths 12.157, 12.157, 7.689 Å; angles 90.00, 90.00, 90.00 degrees
Space group I4/m (No. 87)
Symmetry-distinct sites (fractional):
Pm  0.000  0.000  0.000 (multiplicity 2)
Y  0.000  0.500  0.250 (multiplicity 4)
Y  0.101  0.201  0.252 (multiplicity 16)
Er  0.099  0.699  0.500 (multiplicity 8)

Results
- E_form (kJ/mol of atoms) = 71
- crystal system = tetragonal
- Fermi-level density of states (states/eV/cell) = 37.11

# Np2PaCuS6

A relaxed structure of Np2PaCuS6 (PBE, the Alexandria database).

Cell lengths 6.285, 6.285, 6.286 Å; angles 90.00, 90.00, 90.00 degrees
Space group P4mm (No. 99)
Symmetry-distinct sites (fractional):
Np  0.000  0.500  0.000 (multiplicity 2)
Pa  0.000  0.000  0.585 (multiplicity 1)
Cu  0.500  0.500  0.528 (multiplicity 1)
S  0.000  0.000  0.156 (multiplicity 1)
S  0.264  0.264  0.739 (multiplicity 4)
S  0.500  0.500  0.177 (multiplicity 1)

Results
- formation energy from raw total energies (eV/atom) = -0.912
- crystal system = tetragonal
- Fermi-level density of states (states/eV/cell) = 22.94

# SrSb3

A relaxed structure of SrSb3 (PBE, the Alexandria database).

Cell lengths 7.881, 7.881, 7.881 Å; angles 90.00, 90.00, 90.00 degrees
Space group Fm-3m (No. 225)
Symmetry-distinct sites (fractional):
Sr  0.000  0.000  0.000 (multiplicity 4)
Sb  0.000  0.000  0.500 (multiplicity 4)
Sb  0.250  0.250  0.250 (multiplicity 8)

Results
- formation energy from raw total energies (eV/atom) = -0.212
- crystal system = cubic
- Fermi-level density of states (states/eV/cell) = 11.93

# Pr6SiRh2Cl3

A relaxed structure of Pr6SiRh2Cl3 (PBE, the Alexandria database).

Cell lengths 7.278, 12.619, 7.773 Å; angles 90.00, 108.24, 90.00 degrees
Space group C2/m (No. 12)
Symmetry-distinct sites (fractional):
Pr  0.226  0.000  0.212 (multiplicity 4)
Pr  0.242  0.328  0.213 (multiplicity 8)
Si  0.000  0.500  0.000 (multiplicity 2)
Rh  0.000  0.167  0.000 (multiplicity 4)
Cl  0.000  0.000  0.500 (multiplicity 2)
Cl  0.000  0.340  0.500 (multiplicity 4)

Results
- formation energy from raw total energies (eV/atom) = -1.104
- crystal system = monoclinic
- Fermi-level density of states (states/eV/cell) = 19.13